Computed, not measured: a geometry-optimized Sm2ScCu12Ni3 structure at the PBE level of DFT.

Unit cell a=8.5713 b=8.5713 c=12.4514 alpha=90.00 beta=90.00 gamma=120.00
Space group R-3m (No. 166, hexagonal axes)
Asymmetric unit:
1 Sm 0.0000 0.0000 0.2389
2 Sc 0.0000 0.0000 0.5000
3 Cu 0.0047 0.5024 0.2059
4 Cu 0.0436 0.5218 0.6031
5 Ni 0.0000 0.5000 0.0000

Results
Calculated volume in Å³/atom: 14.7
VASP energy in eV for the cell shown: -243.5
Calculated formation energy in eV per atom: 0.0603
Theoretical density in g/cm³: 8.076

***

Computed, not measured: a geometry-optimized SrSc2CuNi structure at the PBE level of DFT.

Unit cell a=4.910 b=4.910 c=5.636 alpha=90.00 beta=90.00 gamma=90.00
Space group P4/mmm (No. 123)
Asymmetric unit:
1 Sr 0.000 0.000 0.000
2 Sc 0.000 0.500 0.500
3 Cu 0.000 0.000 0.500
4 Ni 0.500 0.500 0.000

Results
Calculated volume in Å³/atom: 27.2
VASP energy in eV for the cell shown: -21.5
Calculated formation energy in eV per atom: 0.5360
Theoretical density in g/cm³: 3.663

***

Computed, not measured: a geometry-optimized TbScCuNi structure at the PBE level of DFT.

Unit cell a=6.660 b=6.660 c=6.660 alpha=90.00 beta=90.00 gamma=90.00
Space group F-43m (No. 216)
Asymmetric unit:
1 Tb 0.000 0.000 0.000
2 Sc 0.000 0.000 0.500
3 Cu 0.250 0.250 0.250
4 Ni 0.250 0.250 0.750

Results
Calculated volume in Å³/atom: 18.5
VASP energy in eV for the cell shown: -88.5
Calculated formation energy in eV per atom: -0.3212
Theoretical density in g/cm³: 7.332
E above lowest polymorph in eV per atom: 0.0268

***

| no. | spin magnetization (μB/atom) |
| --- | --- |
| 1 | 0.00 |
| 2 | 0.00 |
| 3 | 0.00 |